First-principles (GGA-PBE) data for a relaxed PmPuAlTl crystal, as listed in Alexandria via LeMat-Bulk.

Computed properties:
As for the symmetry: F-43m. For the calculated volume, the calculation gives 26.817 Å³/atom. The formation energy comes out at -133 meV/atom. As for the total energy: -6.431 eV/atom.

abc: 5.3333 5.3333 5.3333
angles: 60.00 60.00 60.00
Fractional positions:
Pm 0.0000 0.0000 0.0000
Pu 0.5000 0.5000 0.5000
Al 0.2500 0.2500 0.2500
Tl 0.7500 0.7500 0.7500